1.
LiLa2BeC: optimized geometry, PBE.

For the formation energy, the calculation gives 0.03 eV per atom. The value obtained for the uncorrected energy is -24.58 eV/cell. The crystal system is tetragonal. As for the density of states at the Fermi level: 4.910 states/eV per cell.

Cell: 5.432 5.432 3.504 Å, 90.00 90.00 90.00°
Space group P4/mmm (No. 123)
One atom of each set of equivalent atoms:
Li1 0.000 0.000 0.000
La1 0.000 0.500 0.500
Be1 0.500 0.500 0.000
C1 0.500 0.500 0.500

2.
La2MgBeC: optimized geometry, PBE.

For the formation energy, the calculation gives 0.02 eV per atom. The value obtained for the uncorrected energy is -24.31 eV/cell. The crystal system is tetragonal. As for the density of states at the Fermi level: 5.167 states/eV per cell.

Cell: 5.561 5.561 3.520 Å, 90.00 90.00 90.00°
Space group P4/mmm (No. 123)
One atom of each set of equivalent atoms:
La1 0.000 0.500 0.000
Mg1 0.000 0.000 0.500
Be1 0.500 0.500 0.500
C1 0.500 0.500 0.000

3.
LaBeC2N: optimized geometry, PBE.

The value obtained for the uncorrected energy is -24.73 eV/cell. The formation energy without anion corrections is 2140.2 meV per atom. The crystal system is tetragonal. As for the density of states at the Fermi level: 2.216 states/eV per cell.

Cell: 3.898 3.898 4.517 Å, 90.00 90.00 90.00°
Space group P4/mmm (No. 123)
One atom of each set of equivalent atoms:
La1 0.000 0.000 0.000
Be1 0.500 0.500 0.000
C1 0.000 0.500 0.500
N1 0.000 0.000 0.500